DFT (PBE) results for SrHfO3 after structural relaxation.

a b c (Å): 12.8194 7.5429 7.5429
angles (deg): 95.76 132.00 48.00
With the nearest neighbours (Å) after each atom.
Fractional coordinates of all 20 atoms:
Hf: 0.2500 0.8333 0.3333  6 O 2.04-2.16
Hf: 0.7500 0.1667 0.6667  6 O 2.04-2.16
Hf: 0.2500 0.4822 0.9822  4 O 1.95-2.11
Hf: 0.7500 0.5178 0.0178  4 O 1.95-2.11
O: 0.8762 0.3842 0.3897  1 Hf 1.95
O: 0.3762 0.1103 0.1158  1 Hf 1.95
O: 0.9357 0.0428 0.1073  2 Hf 2.11-2.16
O: 0.5643 0.6073 0.5428  2 Hf 2.11-2.16
O: 0.0643 0.9572 0.8927  2 Hf 2.11-2.16
O: 0.9540 0.7299 0.8379  2 Hf 2.04-2.11
O: 0.5460 0.3379 0.2299  2 Hf 2.04-2.11
O: 0.4540 0.6621 0.7701  2 Hf 2.04-2.11
O: 0.0460 0.2701 0.1621  2 Hf 2.04-2.11
O: 0.1238 0.6158 0.6103  1 Hf 1.95
O: 0.4357 0.3927 0.4572  2 Hf 2.11-2.16
O: 0.6238 0.8897 0.8842  1 Hf 1.95
Sr: 0.7128 0.1085 0.1057  5 O 2.42-2.68
Sr: 0.2128 0.3943 0.3915  5 O 2.42-2.68
Sr: 0.2872 0.8915 0.8943  5 O 2.42-2.68
Sr: 0.7872 0.6057 0.6085  5 O 2.42-2.68

Calculated values
* SG: No. 15
* total DFT energy (no corrections): -8.583 eV/atom
* uncorrected formation energy: -3.2813 eV per atom
* calculated density: 6.66 g/cm³
* volume: 313 Å³/cell